DFT (PBE-GGA) results for crystalline MgTc2Ge2 at its relaxed geometry.

Structure (POSCAR):
```
MgTc2Ge2
1.0
2.4299 1.4563 5.2490
-2.2286 4.3782 3.3826
-1.8333 -4.8286 -2.9834
Ge Mg Tc
2 1 2
Cartesian
0.0773 2.2398 3.3135
0.1241 3.5948 5.3181
0.0000 0.0000 0.0000
0.3486 -0.2275 3.2907
-1.9806 1.2334 2.3575
```

Excess energy over the best structure of this formula in the dataset   123 meV per atom
Total moment   0.00 μB/atom
Space-group type   I4/mmm



DFT (PBE-GGA) results for crystalline Nb2Tc2O5 at its relaxed geometry.

Structure (POSCAR):
```
Nb2Tc2O5
1.0
6.9614 0.0000 0.0000
0.0000 4.0298 0.0000
0.0000 0.0000 4.0298
Nb O Tc
2 5 2
Cartesian
1.4723 2.0149 2.0149
5.4891 2.0149 2.0149
1.6113 2.0149 0.0000
5.3501 2.0149 0.0000
1.6113 0.0000 2.0149
5.3501 0.0000 2.0149
3.4807 2.0149 2.0149
0.0000 0.0000 0.0000
3.4807 0.0000 0.0000
```

Excess energy over the best structure of this formula in the dataset   0 meV per atom
Total moment   0.84 μB/atom
Space-group type   P4/mmm



DFT (PBE-GGA) results for crystalline NbRe2As at its relaxed geometry.

Structure (POSCAR):
```
NbRe2As
1.0
0.0000 3.1662 3.1662
3.1662 0.0000 3.1662
3.1662 3.1662 0.0000
As Nb Re
1 1 2
Cartesian
3.1662 3.1662 3.1662
1.5831 1.5831 1.5831
0.0000 0.0000 0.0000
4.7493 4.7493 4.7493
```

Total moment   0.03 μB/atom
Space-group type   F-43m



DFT (PBE-GGA) results for crystalline Sb2PdSe6 at its relaxed geometry.

Structure (POSCAR):
```
Sb2PdSe6
1.0
5.7778 -1.9866 0.0000
5.7778 1.9866 0.0000
-2.6154 0.0000 10.0994
Pd Sb Se
1 2 6
Cartesian
0.0000 0.0000 0.0000
7.0424 0.0000 3.3091
1.8979 0.0000 6.7903
2.4153 0.0000 0.6103
-0.5515 0.0000 2.4235
3.0779 0.0000 4.4337
5.8624 0.0000 5.6657
9.4918 0.0000 7.6759
6.5249 0.0000 9.4891
```

Space-group type   C2/m



DFT (PBE-GGA) results for crystalline Nd6In22Pt13 at its relaxed geometry.

Structure (POSCAR):
```
Nd6In22Pt13
1.0
-5.6339 9.7138 -9.0245
-6.2707 6.0443 -11.4755
-10.1205 -4.9201 9.9959
In Nd Pt
22 6 13
Cartesian
-6.7587 8.8947 -11.5611
-4.0756 4.2106 -5.2451
-13.0196 14.3024 -18.0309
-12.4041 12.4240 -15.3784
-10.2495 9.5455 -11.6285
-5.8109 3.0477 -3.0532
-8.8500 5.8360 -6.4383
-4.8291 0.3241 0.7694
-7.0449 1.7019 -0.7176
-15.6588 12.7398 -15.0056
-11.6258 7.1002 -7.6098
-10.3992 3.7378 -2.8944
-6.3662 -1.9018 4.5015
-14.9801 9.1361 -9.7865
-17.1959 10.5139 -11.2735
-13.1750 5.0020 -4.0658
-16.2141 7.7903 -7.4509
-11.7756 1.2925 1.1244
-9.6209 -1.5860 4.8743
-9.0054 -3.4644 7.5267
-17.9494 6.6274 -5.2590
-15.2663 1.9433 1.0570
-2.2512 2.4186 -3.0363
-8.5255 7.6325 -9.2123
-14.0221 10.8796 -12.6457
-8.0029 -0.0415 2.1415
-13.4995 3.2055 -1.2918
-19.7739 8.4194 -7.4679
0.0000 0.0000 0.0000
-2.5549 0.8950 -0.6761
-10.2905 11.1200 -13.9752
-6.0657 5.5187 -6.6866
-8.0677 4.2911 -4.3285
-4.0466 -1.2588 2.9360
-12.2493 8.6910 -9.8296
-9.7757 2.1470 -0.6745
-17.9784 12.0968 -13.4401
-13.9573 6.5469 -6.1756
-15.9593 5.3193 -3.8175
-11.7345 -0.2820 3.4711
-19.4701 9.9430 -9.8280
```

Total moment   0.00 μB/atom
Space-group type   C2/m



DFT (PBE-GGA) results for crystalline GaFeB4 at its relaxed geometry.

Structure (POSCAR):
```
GaFeB4
1.0
-0.9075 1.4301 4.1422
-2.0361 3.7727 -1.2835
-0.5122 -4.4441 -0.1186
B Fe Ga
4 1 1
Cartesian
-1.2170 0.3022 2.0673
-1.7695 1.4526 -0.6570
-1.6862 -0.6940 3.3971
-2.2387 0.4565 0.6728
0.0000 0.0000 0.0000
-1.4718 2.6014 1.4294
```

Excess energy over the best structure of this formula in the dataset   56 meV per atom
Total moment   0.40 μB/atom
Space-group type   Immm



DFT (PBE-GGA) results for crystalline BaTePtO at its relaxed geometry.

Structure (POSCAR):
```
BaTePtO
1.0
-1.3758 -6.1797 -1.8418
5.4192 -2.4050 4.0214
-9.4597 -1.4371 11.8883
Ba O Pt Te
8 8 8 8
Cartesian
-1.5603 -2.2849 2.0483
1.2522 -3.0252 4.1967
-3.5339 -5.5701 2.7432
-0.7214 -6.3104 4.8917
-4.6948 -3.7114 9.1762
-1.8824 -4.4518 11.3247
-6.6684 -6.9966 9.8712
-3.8560 -7.7370 12.0196
-0.9723 -4.6237 2.9309
1.2251 -8.1268 4.2559
-0.8966 -1.6269 4.6210
1.3009 -5.1299 5.9460
-6.7171 -4.8919 8.1219
-4.5197 -8.3950 9.4469
-6.6413 -1.8950 9.8120
-4.4439 -5.3981 11.1370
0.1112 -6.8045 -0.5480
3.4728 -5.0785 2.3355
-3.7510 -4.4059 6.0911
-0.3894 -2.6799 8.9746
-5.0268 -7.3420 5.0933
-1.6652 -5.6159 7.9768
-8.8890 -4.9434 11.7324
-5.5274 -3.2173 14.6159
0.7274 -5.4777 1.6424
3.2610 -7.4706 3.4175
-1.6478 -2.8532 6.4127
0.8858 -4.8461 8.1879
-6.3021 -5.1758 5.8800
-3.7684 -7.1686 7.6552
-8.6773 -2.5513 10.6504
-6.1436 -4.5441 12.4255
```

Excess energy over the best structure of this formula in the dataset   24 meV per atom
Total moment   0.00 μB/atom
Space-group type   Pbca



DFT (PBE-GGA) results for crystalline In2NiAu2 at its relaxed geometry.

Structure (POSCAR):
```
In2NiAu2
1.0
2.6675 -2.6675 0.0000
2.6675 2.6675 0.0000
-2.6675 0.0000 7.1561
Au In Ni
2 2 1
Cartesian
1.3337 -1.3338 3.5781
1.3337 1.3338 3.5781
2.6675 0.0000 1.3733
0.0000 0.0000 5.7828
0.0000 0.0000 0.0000
```

Total moment   0.00 μB/atom
Space-group type   I4/mmm



DFT (PBE-GGA) results for crystalline Dy2Ho2CBr2Cl3 at its relaxed geometry.

Structure (POSCAR):
```
Dy2Ho2CBr2Cl3
1.0
-4.2936 -6.3382 4.6348
-2.7964 -8.3005 1.8361
6.9387 0.2927 3.5066
Br C Cl Dy Ho
2 1 3 2 2
Cartesian
-4.6095 -12.0886 6.0100
4.4581 -2.2573 3.9675
-3.5450 -7.3193 3.2355
1.2119 -2.2250 2.2083
-0.0757 -7.1730 4.9887
-1.3633 -12.1209 7.7691
-4.0027 -9.3538 4.4171
3.8513 -4.9921 5.5604
-5.6354 -14.5751 7.2045
5.4840 0.2292 2.7729
```

Excess energy over the best structure of this formula in the dataset   0 meV per atom
Total moment   0.01 μB/atom
Space-group type   C2/m



DFT (PBE-GGA) results for crystalline BeCdBAu at its relaxed geometry.

Structure (POSCAR):
```
BeCdBAu
1.0
0.0844 -1.6951 3.8795
-1.1636 2.3163 3.3483
-3.6242 -0.8609 2.0136
Au B Be Cd
1 1 1 1
Cartesian
-3.5276 -0.1798 6.9311
0.0000 0.0000 0.0000
-2.3518 -0.1198 4.6207
-1.1759 -0.0599 2.3104
```

Excess energy over the best structure of this formula in the dataset   0 meV per atom
Space-group type   F-43m



DFT (PBE-GGA) results for crystalline KTe2MoAuSe at its relaxed geometry.

Structure (POSCAR):
```
KTe2MoAuSe
1.0
-0.3874 0.9684 8.0277
-3.0432 -2.9022 -6.9172
5.4688 -8.9316 1.3414
Au K Mo Se Te
2 2 2 2 4
Cartesian
0.8534 -1.4487 7.6516
1.1849 -9.4166 -5.1997
-0.9914 -4.1375 -2.7299
3.0297 -6.7279 5.1818
-1.7153 -0.9669 0.5552
1.0191 -5.4327 1.2259
-0.1850 -2.9621 1.8081
2.2233 -7.9032 0.6438
-0.5913 0.2836 6.2051
1.8922 -3.7725 6.8142
0.1460 -7.0928 -4.3624
2.6296 -11.1489 -3.7532
```

Total moment   0.35 μB/atom
Space-group type   Cmcm



DFT (PBE-GGA) results for crystalline Na2AlZnAg2Au2 at its relaxed geometry.

Structure (POSCAR):
```
Na2AlZnAg2Au2
1.0
-1.8826 -1.6836 3.9325
4.2774 -0.7940 1.7077
0.0745 6.0348 2.6193
Ag Al Au Na Zn
2 1 2 2 1
Cartesian
2.1574 1.1196 1.5121
-0.8855 3.6764 3.9273
0.0000 0.0000 0.0000
-0.9232 0.6252 2.6030
2.1951 4.1708 2.8365
1.1974 -1.2388 2.8201
0.0373 3.0174 1.3097
1.2347 1.7786 4.1298
```

Space-group type   P-4m2



DFT (PBE-GGA) results for crystalline Li2Lu2NiSn2Pt at its relaxed geometry.

Structure (POSCAR):
```
Li2Lu2NiSn2Pt
1.0
4.6248 0.0000 0.0000
0.0000 4.6248 0.0000
0.0000 0.0000 6.5516
Li Lu Ni Pt Sn
2 2 1 1 2
Cartesian
0.0000 0.0000 0.0000
2.3124 2.3124 3.2758
2.3124 0.0000 1.6770
0.0000 2.3124 4.8745
0.0000 0.0000 3.2758
2.3124 2.3124 0.0000
0.0000 2.3124 1.6923
2.3124 0.0000 4.8592
```

Total moment   0.00 μB/atom
Space-group type   P-4m2



DFT (PBE-GGA) results for crystalline PrAl3Ni2 at its relaxed geometry.

Structure (POSCAR):
```
PrAl3Ni2
1.0
-6.2876 0.4791 -1.0631
-0.6366 -0.7565 -6.3180
-0.4968 -5.0633 0.6563
Al Ni Pr
6 4 2
Cartesian
-0.9804 -1.6232 -3.2413
-3.6944 -1.7319 -6.1343
-1.0976 -1.9487 -5.8407
-6.3235 -3.3920 -0.8841
-3.7266 -3.6087 -0.5904
-6.4406 -3.7174 -3.4835
-1.3876 -0.0556 -1.4791
-5.5367 -0.2218 -5.9020
-1.6360 -2.5872 -1.1509
-5.7851 -2.7534 -5.5738
-4.4667 -1.2120 -2.7078
-2.9543 -4.1287 -4.0170
```

Excess energy over the best structure of this formula in the dataset   0 meV per atom
Total moment   0.00 μB/atom
Space-group type   Cmcm



DFT (PBE-GGA) results for crystalline HfB2Pt at its relaxed geometry.

Structure (POSCAR):
```
HfB2Pt
1.0
0.0000 2.9946 2.9946
2.9946 0.0000 2.9946
2.9946 2.9946 0.0000
B Hf Pt
2 1 1
Cartesian
0.0000 0.0000 0.0000
1.4973 1.4973 1.4973
2.9946 2.9946 2.9946
4.4920 4.4920 4.4920
```

Total moment   0.00 μB/atom
Space-group type   F-43m



DFT (PBE-GGA) results for crystalline Si2Au at its relaxed geometry.

Structure (POSCAR):
```
Si2Au
1.0
0.0000 3.6878 3.6878
3.6878 0.0000 3.6878
3.6878 3.6878 0.0000
Au Si
2 4
Cartesian
0.0000 0.0000 0.0000
1.8439 1.8439 1.8439
2.7658 2.7658 4.6097
2.7658 4.6097 2.7658
4.6097 2.7658 2.7658
4.6097 4.6097 4.6097
```

Excess energy over the best structure of this formula in the dataset   254 meV per atom
Space-group type   Fd-3m



DFT (PBE-GGA) results for crystalline NaTaBIr at its relaxed geometry.

Structure (POSCAR):
```
NaTaBIr
1.0
0.0000 3.0703 3.0703
3.0703 0.0000 3.0703
3.0703 3.0703 0.0000
B Ir Na Ta
1 1 1 1
Cartesian
3.0703 3.0703 3.0703
0.0000 0.0000 0.0000
4.6054 4.6054 4.6054
1.5351 1.5351 1.5351
```

Excess energy over the best structure of this formula in the dataset   106 meV per atom
Total moment   0.00 μB/atom
Space-group type   F-43m



DFT (PBE-GGA) results for crystalline TbCdInTe3 at its relaxed geometry.

Structure (POSCAR):
```
TbCdInTe3
1.0
8.6983 0.0000 0.0000
0.0000 4.6663 0.0000
0.0000 0.0000 18.7091
Cd In Tb Te
4 4 4 12
Cartesian
8.0296 1.1666 2.9925
3.6804 1.1666 6.3620
5.0179 3.4997 12.3471
0.6688 3.4997 15.7165
4.8589 3.4997 3.6975
0.5097 3.4997 5.6570
8.1887 1.1666 13.0520
3.8395 1.1666 15.0116
2.3349 1.1666 0.7462
6.6841 1.1666 8.6083
2.0143 3.4997 10.1008
6.3634 3.4997 17.9628
5.4571 1.1666 1.1404
0.0527 3.4997 1.4224
2.3486 1.1666 3.8585
6.6977 1.1666 5.4960
4.4019 3.4997 7.9322
1.1079 1.1666 8.2141
7.5904 3.4997 10.4949
4.2965 1.1666 10.7769
2.0006 3.4997 13.2130
6.3498 3.4997 14.8506
8.6457 1.1666 17.2867
3.2413 3.4997 17.5686
```

Excess energy over the best structure of this formula in the dataset   76 meV per atom
Total moment   0.00 μB/atom
Space-group type   Pnma



DFT (PBE-GGA) results for crystalline NaCoBiB at its relaxed geometry.

Structure (POSCAR):
```
NaCoBiB
1.0
2.1589 -0.3546 3.8873
2.4212 3.4211 1.5266
-1.3986 2.3149 3.5472
B Bi Co Na
1 1 1 1
Cartesian
0.0000 0.0000 0.0000
1.5908 2.6907 4.4806
0.7954 1.3454 2.2403
2.3862 4.0361 6.7208
```

Excess energy over the best structure of this formula in the dataset   0 meV per atom
Total moment   0.03 μB/atom
Space-group type   F-43m



DFT (PBE-GGA) results for crystalline Rb2CuBiCl6 at its relaxed geometry.

Structure (POSCAR):
```
Rb2CuBiCl6
1.0
-3.6950 3.6950 5.2268
3.6950 -3.6950 5.2268
3.6950 3.6950 -5.2268
Bi Cl Cu Rb
1 6 1 2
Cartesian
0.0000 0.0000 5.2268
-1.9297 1.9297 5.2268
0.0000 0.0000 2.4979
0.0000 0.0000 7.9557
1.9297 -1.9297 5.2268
1.7654 1.7654 0.0000
1.9297 1.9297 5.2268
0.0000 0.0000 0.0000
0.0000 3.6950 2.6134
3.6950 0.0000 2.6134
```

Excess energy over the best structure of this formula in the dataset   3 meV per atom
Space-group type   Fm-3m



no.,energy (eV per atom),calculated volume (Å³/atom)
1,-6.30,17.570
2,-8.16,12.561
3,-9.57,15.871
4,-3.95,25.761
5,-4.76,21.567
6,-6.12,8.610
7,-5.20,22.526
8,-3.35,20.368
9,-5.23,24.753
10,-2.83,13.422
11,-4.39,28.197
12,-2.62,17.963
13,-4.81,17.516
14,-5.15,16.912
15,-6.77,13.428
16,-4.17,16.718
17,-6.63,14.471
18,-3.63,31.641
19,-3.80,15.690
20,-3.35,28.545